Model one:
{"formula": "SrLi2SiNi", "functional": "PBE", "state": "relaxed", "lattice_angstrom": [[4.7884, 0.0000, 0.0000], [0.0000, 4.7884, 0.0000], [0.0000, 0.0000, 4.4608]], "species": ["Sr", "Li", "Li", "Si", "Ni"], "fractional_positions": [[0.0000, 0.0000, 0.0000], [0.0000, 0.5000, 0.5000], [0.5000, 0.0000, 0.5000], [0.5000, 0.5000, 0.5000], [0.5000, 0.5000, 0.0000]], "space_group": "P4/mmm, No. 123", "magmom_total_mub_per_cell": 0.0}



Model two:
{"formula": "SrLi2SiNi", "functional": "PBE", "state": "relaxed", "lattice_angstrom": [[4.7665, 0.0000, 0.0000], [0.0000, 4.7665, 0.0000], [0.0000, 0.0000, 4.3916]], "species": ["Sr", "Li", "Li", "Si", "Ni"], "fractional_positions": [[0.0000, 0.0000, 0.0000], [0.0000, 0.5000, 0.5000], [0.5000, 0.0000, 0.5000], [0.5000, 0.5000, 0.0000], [0.5000, 0.5000, 0.5000]], "space_group": "P4/mmm, No. 123", "magmom_total_mub_per_cell": 0.1}



Most stable structure: model two



Model one:
{"formula": "LiNi3Sn", "functional": "PBE", "state": "relaxed", "lattice_angstrom": [[4.7247, 0.0000, 0.0000], [0.0000, 4.7247, 0.0000], [0.0000, 0.0000, 4.7247]], "species": ["Li", "Ni", "Ni", "Ni", "Sn"], "fractional_positions": [[0.0000, 0.0000, 0.0000], [0.0000, 0.5000, 0.5000], [0.5000, 0.0000, 0.5000], [0.5000, 0.5000, 0.0000], [0.5000, 0.5000, 0.5000]], "space_group": "Pm-3m, No. 221", "magmom_total_mub_per_cell": 0.9}



Model two:
{"formula": "LiNi3Sn", "functional": "PBE", "state": "relaxed", "lattice_angstrom": [[4.0260, 0.0000, 0.0000], [0.0000, 4.0260, 0.0000], [0.0000, 0.0000, 4.0260]], "species": ["Li", "Ni", "Ni", "Ni", "Sn"], "fractional_positions": [[0.0000, 0.0000, 0.0000], [0.0000, 0.0000, 0.5000], [0.0000, 0.5000, 0.0000], [0.5000, 0.0000, 0.0000], [0.5000, 0.5000, 0.5000]], "space_group": "Pm-3m, No. 221", "magmom_total_mub_per_cell": 0.0}



Most stable structure: model two



Model one:
{"formula": "Li2Ni2Sn", "functional": "PBE", "state": "relaxed", "lattice_angstrom": [[6.4204, 0.0000, 0.0000], [0.0000, 6.4204, 0.0000], [0.0000, 0.0000, 3.6810]], "species": ["Li", "Li", "Li", "Li", "Ni", "Ni", "Ni", "Ni", "Sn", "Sn"], "fractional_positions": [[0.1635, 0.3365, 0.0000], [0.3365, 0.8365, 0.0000], [0.6635, 0.1635, 0.0000], [0.8365, 0.6635, 0.0000], [0.1297, 0.6297, 0.5000], [0.3703, 0.1297, 0.5000], [0.6297, 0.8703, 0.5000], [0.8703, 0.3703, 0.5000], [0.0000, 0.0000, 0.5000], [0.5000, 0.5000, 0.5000]], "space_group": "P4/mbm, No. 127", "magmom_total_mub_per_cell": 0.0}



Model two:
{"formula": "Li2Ni2Sn", "functional": "PBE", "state": "relaxed", "lattice_angstrom": [[3.4729, 0.0000, 0.0000], [0.0000, 3.4729, 0.0000], [0.0000, 0.0000, 12.3299]], "species": ["Li", "Li", "Li", "Li", "Ni", "Ni", "Ni", "Ni", "Sn", "Sn"], "fractional_positions": [[0.0000, 0.5000, 0.2500], [0.0000, 0.5000, 0.7500], [0.5000, 0.0000, 0.2500], [0.5000, 0.0000, 0.7500], [0.0000, 0.0000, 0.0961], [0.0000, 0.0000, 0.9039], [0.5000, 0.5000, 0.4039], [0.5000, 0.5000, 0.5961], [0.0000, 0.0000, 0.5000], [0.5000, 0.5000, 0.0000]], "space_group": "I4/mmm, No. 139", "magmom_total_mub_per_cell": 0.0}



Model three:
{"formula": "Li2Ni2Sn", "functional": "PBE", "state": "relaxed", "lattice_angstrom": [[7.3192, 0.0000, 0.0000], [0.0000, 4.2140, 0.0000], [-2.4583, 0.0000, 4.4353]], "species": ["Li", "Li", "Li", "Li", "Ni", "Ni", "Ni", "Ni", "Sn", "Sn"], "fractional_positions": [[0.2048, 0.0000, 0.1154], [0.2952, 0.5000, 0.8846], [0.7048, 0.5000, 0.1154], [0.7952, 0.0000, 0.8846], [0.0963, 0.5000, 0.2900], [0.4037, 0.0000, 0.7100], [0.5963, 0.0000, 0.2900], [0.9037, 0.5000, 0.7100], [0.0000, 0.0000, 0.5000], [0.5000, 0.5000, 0.5000]], "space_group": "C2/m, No. 12", "magmom_total_mub_per_cell": 0.0}



Most stable structure: model three



Model one:
{"formula": "LiNiSn3", "functional": "PBE", "state": "relaxed", "lattice_angstrom": [[4.3152, -6.0320, 0.0000], [4.3152, 6.0320, 0.0000], [0.0000, 0.0000, 4.2550]], "species": ["Li", "Li", "Ni", "Ni", "Sn", "Sn", "Sn", "Sn", "Sn", "Sn"], "fractional_positions": [[0.0000, 0.0000, 0.0000], [0.5000, 0.5000, 0.5000], [0.0000, 0.5000, 0.0000], [0.5000, 0.0000, 0.0000], [0.0639, 0.3203, 0.5000], [0.3203, 0.0639, 0.5000], [0.3599, 0.6401, 0.0000], [0.6401, 0.3599, 0.0000], [0.6797, 0.9361, 0.5000], [0.9361, 0.6797, 0.5000]], "space_group": "Cmmm, No. 65", "magmom_total_mub_per_cell": 0.0}



Model two:
{"formula": "LiNiSn3", "functional": "PBE", "state": "relaxed", "lattice_angstrom": [[4.7161, 0.0000, 0.0000], [0.0000, 8.8080, 0.0000], [-2.0777, 0.0000, 5.2143]], "species": ["Li", "Li", "Ni", "Ni", "Sn", "Sn", "Sn", "Sn", "Sn", "Sn"], "fractional_positions": [[0.2021, 0.2500, 0.3814], [0.7979, 0.7500, 0.6186], [0.4965, 0.2500, 0.9829], [0.5035, 0.7500, 0.0171], [0.0797, 0.7500, 0.1855], [0.3432, 0.5228, 0.7022], [0.3432, 0.9772, 0.7022], [0.6568, 0.0228, 0.2978], [0.6568, 0.4772, 0.2978], [0.9203, 0.2500, 0.8145]], "space_group": "P2_1/m, No. 11", "magmom_total_mub_per_cell": 0.0}



Model three:
{"formula": "LiNiSn3", "functional": "PBE", "state": "relaxed", "lattice_angstrom": [[5.0236, 0.0000, 0.0000], [0.0000, 5.0236, 0.0000], [0.0000, 0.0000, 5.0236]], "species": ["Li", "Ni", "Sn", "Sn", "Sn"], "fractional_positions": [[0.0000, 0.0000, 0.0000], [0.5000, 0.5000, 0.5000], [0.0000, 0.5000, 0.5000], [0.5000, 0.0000, 0.5000], [0.5000, 0.5000, 0.0000]], "space_group": "Pm-3m, No. 221", "magmom_total_mub_per_cell": 0.0}



Most stable structure: model two



Model one:
{"formula": "SrLi2Ni", "functional": "PBE", "state": "relaxed", "lattice_angstrom": [[4.4140, 0.0000, 0.0000], [-2.2070, 3.8226, 0.0000], [0.0000, 0.0000, 16.0411]], "species": ["Sr", "Sr", "Sr", "Li", "Li", "Li", "Li", "Li", "Li", "Ni", "Ni", "Ni"], "fractional_positions": [[0.0000, 0.0000, 0.0000], [0.3333, 0.6667, 0.6667], [0.6667, 0.3333, 0.3333], [0.0000, 0.0000, 0.5182], [0.0000, 0.0000, 0.8084], [0.3333, 0.6667, 0.1848], [0.3333, 0.6667, 0.4751], [0.6667, 0.3333, 0.1417], [0.6667, 0.3333, 0.8515], [0.0000, 0.0000, 0.2008], [0.3333, 0.6667, 0.8675], [0.6667, 0.3333, 0.5342]], "space_group": "R3m, No. 160", "magmom_total_mub_per_cell": 0.0}



Model two:
{"formula": "SrLi2Ni", "functional": "PBE", "state": "relaxed", "lattice_angstrom": [[5.0111, 0.0000, 0.0000], [0.0000, 5.0111, 0.0000], [0.0000, 0.0000, 6.9916]], "species": ["Sr", "Sr", "Li", "Li", "Li", "Li", "Ni", "Ni"], "fractional_positions": [[0.0000, 0.0000, 0.0000], [0.5000, 0.5000, 0.5000], [0.0000, 0.0000, 0.5000], [0.0000, 0.5000, 0.2500], [0.5000, 0.0000, 0.7500], [0.5000, 0.5000, 0.0000], [0.0000, 0.5000, 0.7500], [0.5000, 0.0000, 0.2500]], "space_group": "I-4m2, No. 119", "magmom_total_mub_per_cell": 0.0}



Most stable structure: model one



Model one:
{"formula": "SrLi2Ni", "functional": "PBE", "state": "relaxed", "lattice_angstrom": [[3.5307, 0.0000, 0.0000], [0.0000, 3.5307, 0.0000], [0.0000, 0.0000, 7.1264]], "species": ["Sr", "Li", "Li", "Ni"], "fractional_positions": [[0.0000, 0.0000, 0.0000], [0.0000, 0.0000, 0.5857], [0.5000, 0.5000, 0.3883], [0.5000, 0.5000, 0.7455]], "space_group": "P4mm, No. 99", "magmom_total_mub_per_cell": 0.0}



Model two:
{"formula": "SrLi2Ni", "functional": "PBE", "state": "relaxed", "lattice_angstrom": [[4.2233, 0.0000, 0.0000], [0.0000, 4.2233, 0.0000], [0.0000, 0.0000, 20.3480]], "species": ["Sr", "Sr", "Sr", "Sr", "Li", "Li", "Li", "Li", "Li", "Li", "Li", "Li", "Ni", "Ni", "Ni", "Ni"], "fractional_positions": [[0.0000, 0.0000, 0.0000], [0.0000, 0.5000, 0.2500], [0.5000, 0.0000, 0.7500], [0.5000, 0.5000, 0.5000], [0.1673, 0.2500, 0.6250], [0.2500, 0.6673, 0.8750], [0.2500, 0.8327, 0.3750], [0.3327, 0.2500, 0.1250], [0.6673, 0.7500, 0.1250], [0.7500, 0.1673, 0.3750], [0.7500, 0.3327, 0.8750], [0.8327, 0.7500, 0.6250], [0.0000, 0.0000, 0.5000], [0.0000, 0.5000, 0.7500], [0.5000, 0.0000, 0.2500], [0.5000, 0.5000, 0.0000]], "space_group": "I-42d, No. 122", "magmom_total_mub_per_cell": 0.0}



Most stable structure: model one



Model one:
{"formula": "SrLi2Ni", "functional": "PBE", "state": "relaxed", "lattice_angstrom": [[4.3730, 0.0000, 0.0000], [-2.1865, 3.7871, 0.0000], [0.0000, 0.0000, 16.2322]], "species": ["Sr", "Sr", "Sr", "Li", "Li", "Li", "Li", "Li", "Li", "Ni", "Ni", "Ni"], "fractional_positions": [[0.0000, 0.0000, 0.0000], [0.3333, 0.6667, 0.6667], [0.6667, 0.3333, 0.3333], [0.0000, 0.0000, 0.1975], [0.0000, 0.0000, 0.8025], [0.3333, 0.6667, 0.4691], [0.3333, 0.6667, 0.8642], [0.6667, 0.3333, 0.1358], [0.6667, 0.3333, 0.5309], [0.0000, 0.0000, 0.5000], [0.3333, 0.6667, 0.1667], [0.6667, 0.3333, 0.8333]], "space_group": "R-3m, No. 166", "magmom_total_mub_per_cell": 0.0}



Model two:
{"formula": "SrLi2Ni", "functional": "PBE", "state": "relaxed", "lattice_angstrom": [[11.2835, 0.0000, 0.0000], [0.0000, 3.4732, 0.0000], [-2.0885, 0.0000, 4.4826]], "species": ["Sr", "Sr", "Li", "Li", "Li", "Li", "Ni", "Ni"], "fractional_positions": [[0.0000, 0.0000, 0.0000], [0.5000, 0.5000, 0.0000], [0.2016, 0.0000, 0.6973], [0.2984, 0.5000, 0.3027], [0.7016, 0.5000, 0.6973], [0.7984, 0.0000, 0.3027], [0.0000, 0.5000, 0.5000], [0.5000, 0.0000, 0.5000]], "space_group": "C2/m, No. 12", "magmom_total_mub_per_cell": 0.0}



Most stable structure: model two



Model one:
{"formula": "SrLi2Ni", "functional": "PBE", "state": "relaxed", "lattice_angstrom": [[4.2089, 0.0000, 0.0000], [0.0000, 4.2089, 0.0000], [0.0000, 0.0000, 5.0558]], "species": ["Sr", "Li", "Li", "Ni"], "fractional_positions": [[0.0000, 0.0000, 0.0000], [0.0000, 0.5000, 0.5000], [0.5000, 0.0000, 0.5000], [0.5000, 0.5000, 0.0000]], "space_group": "P4/mmm, No. 123", "magmom_total_mub_per_cell": 0.0}



Model two:
{"formula": "SrLi2Ni", "functional": "PBE", "state": "relaxed", "lattice_angstrom": [[6.9181, 0.0000, 0.0000], [0.0000, 6.9181, 0.0000], [0.0000, 0.0000, 6.9181]], "species": ["Sr", "Sr", "Sr", "Sr", "Li", "Li", "Li", "Li", "Li", "Li", "Li", "Li", "Ni", "Ni", "Ni", "Ni"], "fractional_positions": [[0.0000, 0.0000, 0.0000], [0.0000, 0.5000, 0.5000], [0.5000, 0.0000, 0.5000], [0.5000, 0.5000, 0.0000], [0.2500, 0.2500, 0.2500], [0.2500, 0.2500, 0.7500], [0.2500, 0.7500, 0.2500], [0.2500, 0.7500, 0.7500], [0.7500, 0.2500, 0.2500], [0.7500, 0.2500, 0.7500], [0.7500, 0.7500, 0.2500], [0.7500, 0.7500, 0.7500], [0.0000, 0.0000, 0.5000], [0.0000, 0.5000, 0.0000], [0.5000, 0.0000, 0.0000], [0.5000, 0.5000, 0.5000]], "space_group": "Fm-3m, No. 225", "magmom_total_mub_per_cell": 0.0}



Most stable structure: model one



Model one:
{"formula": "SrLi2Ni", "functional": "PBE", "state": "relaxed", "lattice_angstrom": [[4.3352, 0.0000, 0.0000], [0.0000, 4.7965, 0.0000], [-0.7500, 0.0000, 4.4750]], "species": ["Sr", "Li", "Li", "Ni"], "fractional_positions": [[0.0000, 0.0000, 0.0000], [0.3227, 0.5000, 0.6762], [0.6773, 0.5000, 0.3238], [0.5000, 0.0000, 0.5000]], "space_group": "P2/m, No. 10", "magmom_total_mub_per_cell": 0.0}



Model two:
{"formula": "SrLi2Ni", "functional": "PBE", "state": "relaxed", "lattice_angstrom": [[3.5963, 0.0000, 0.0000], [0.0000, 3.5963, 0.0000], [0.0000, 0.0000, 6.4561]], "species": ["Sr", "Li", "Li", "Ni"], "fractional_positions": [[0.0000, 0.0000, 0.0000], [0.5000, 0.5000, 0.3274], [0.5000, 0.5000, 0.6726], [0.0000, 0.0000, 0.5000]], "space_group": "P4/mmm, No. 123", "magmom_total_mub_per_cell": 0.0}



Most stable structure: model one



Model one:
{"formula": "Sr2LiNi2", "functional": "PBE", "state": "relaxed", "lattice_angstrom": [[5.7850, 0.0000, 0.0000], [0.0000, 5.7850, 0.0000], [0.0000, 0.0000, 7.7322]], "species": ["Sr", "Sr", "Sr", "Sr", "Li", "Li", "Ni", "Ni", "Ni", "Ni"], "fractional_positions": [[0.0000, 0.5000, 0.2500], [0.0000, 0.5000, 0.7500], [0.5000, 0.0000, 0.2500], [0.5000, 0.0000, 0.7500], [0.0000, 0.0000, 0.0000], [0.5000, 0.5000, 0.5000], [0.0000, 0.0000, 0.3488], [0.0000, 0.0000, 0.6512], [0.5000, 0.5000, 0.1512], [0.5000, 0.5000, 0.8488]], "space_group": "I4/mmm, No. 139", "magmom_total_mub_per_cell": 0.0}



Model two:
{"formula": "Sr2LiNi2", "functional": "PBE", "state": "relaxed", "lattice_angstrom": [[7.6309, 0.0000, 0.0000], [0.0000, 7.6309, 0.0000], [0.0000, 0.0000, 4.2681]], "species": ["Sr", "Sr", "Sr", "Sr", "Li", "Li", "Ni", "Ni", "Ni", "Ni"], "fractional_positions": [[0.1773, 0.3227, 0.0000], [0.3227, 0.8227, 0.0000], [0.6773, 0.1773, 0.0000], [0.8227, 0.6773, 0.0000], [0.0000, 0.0000, 0.5000], [0.5000, 0.5000, 0.5000], [0.1076, 0.6076, 0.5000], [0.3924, 0.1076, 0.5000], [0.6076, 0.8924, 0.5000], [0.8924, 0.3924, 0.5000]], "space_group": "P4/mbm, No. 127", "magmom_total_mub_per_cell": 0.0}



Most stable structure: model two



Model one:
{"formula": "Li2TaNi", "functional": "PBE", "state": "relaxed", "lattice_angstrom": [[10.8070, 0.0000, 0.0000], [0.0000, 2.6861, 0.0000], [-1.7764, 0.0000, 4.0798]], "species": ["Li", "Li", "Li", "Li", "Ta", "Ta", "Ni", "Ni"], "fractional_positions": [[0.2187, 0.0000, 0.2189], [0.2813, 0.5000, 0.7811], [0.7187, 0.5000, 0.2189], [0.7813, 0.0000, 0.7811], [0.0000, 0.0000, 0.5000], [0.5000, 0.5000, 0.5000], [0.0000, 0.5000, 0.0000], [0.5000, 0.0000, 0.0000]], "space_group": "C2/m, No. 12", "magmom_total_mub_per_cell": 0.0}



Model two:
{"formula": "Li2TaNi", "functional": "PBE", "state": "relaxed", "lattice_angstrom": [[8.8405, 0.0000, 0.0000], [0.0000, 2.6558, 0.0000], [-0.9462, 0.0000, 5.0281]], "species": ["Li", "Li", "Li", "Li", "Ta", "Ta", "Ni", "Ni"], "fractional_positions": [[0.0000, 0.0000, 0.0000], [0.2408, 0.0000, 0.8283], [0.5000, 0.5000, 0.0000], [0.7408, 0.5000, 0.8283], [0.2766, 0.5000, 0.3569], [0.7766, 0.0000, 0.3569], [0.0274, 0.5000, 0.5095], [0.5274, 0.0000, 0.5095]], "space_group": "Cm, No. 8", "magmom_total_mub_per_cell": 0.0}



Most stable structure: model one



Model one:
{"formula": "Li2TaNi", "functional": "PBE", "state": "relaxed", "lattice_angstrom": [[3.5123, 0.0000, 0.0000], [0.0000, 3.5123, 0.0000], [0.0000, 0.0000, 4.7011]], "species": ["Li", "Li", "Ta", "Ni"], "fractional_positions": [[0.0000, 0.5000, 0.0000], [0.5000, 0.0000, 0.0000], [0.0000, 0.0000, 0.5000], [0.5000, 0.5000, 0.5000]], "space_group": "P4/mmm, No. 123", "magmom_total_mub_per_cell": 0.0}



Model two:
{"formula": "Li2TaNi", "functional": "PBE", "state": "relaxed", "lattice_angstrom": [[3.3481, 0.0000, 0.0000], [0.0000, 4.3140, 0.0000], [0.0000, 0.0000, 8.7677]], "species": ["Li", "Li", "Li", "Li", "Ta", "Ta", "Ni", "Ni"], "fractional_positions": [[0.0000, 0.0000, 0.0000], [0.0000, 0.5000, 0.2857], [0.5000, 0.0000, 0.2857], [0.5000, 0.5000, 0.0000], [0.0000, 0.0000, 0.5721], [0.5000, 0.5000, 0.5721], [0.0000, 0.5000, 0.7887], [0.5000, 0.0000, 0.7887]], "space_group": "Cmm2, No. 35", "magmom_total_mub_per_cell": 0.0}



Model three:
{"formula": "Li2TaNi", "functional": "PBE", "state": "relaxed", "lattice_angstrom": [[2.6914, 0.0000, 0.0000], [0.0000, 3.9778, 0.0000], [-1.3401, 0.0000, 5.5781]], "species": ["Li", "Li", "Ta", "Ni"], "fractional_positions": [[0.0000, 0.0000, 0.0000], [0.4034, 0.5000, 0.8069], [0.7331, 0.0000, 0.4632], [0.1490, 0.5000, 0.2925]], "space_group": "Pm, No. 6", "magmom_total_mub_per_cell": 0.0}



Most stable structure: model two